(1)
A PBEsol-optimized structure of AgB3Rh. Source: Alexandria via LeMat-Bulk, functional SCAN.

a = 4.0399 Å, b = 4.0399 Å, c = 4.0399 Å
α = 90.00°, β = 90.00°, γ = 90.00°
Space group Pm-3m (No. 221)
Inequivalent atoms, fractional coordinates:
Ag (0.0000, 0.0000, 0.0000) (multiplicity 1)
B (0.0000, 0.5000, 0.5000) (multiplicity 3)
Rh (0.5000, 0.5000, 0.5000) (multiplicity 1)

raw total energy = -82.2 eV/cell
spin magnetization = 0.0000 μB/atom
ΔH_f (0 K) = 1047 meV/atom

***

(2)
A PBEsol-optimized structure of Ag6Pt5. Source: Alexandria via LeMat-Bulk, functional SCAN.

a = 14.5308 Å, b = 2.7769 Å, c = 8.5633 Å
α = 90.00°, β = 93.97°, γ = 90.00°
Space group Cm (No. 8)
Inequivalent atoms, fractional coordinates:
Ag (0.0000, 0.0000, 0.0000) (multiplicity 2)
Ag (0.0444, 0.5000, 0.7274) (multiplicity 2)
Ag (0.1369, 0.5000, 0.1792) (multiplicity 2)
Ag (0.1850, 0.0000, 0.9060) (multiplicity 2)
Ag (0.2722, 0.0000, 0.3581) (multiplicity 2)
Ag (0.3611, 0.0000, 0.8115) (multiplicity 2)
Pt (0.0879, 0.0000, 0.4541) (multiplicity 2)
Pt (0.2236, 0.5000, 0.6216) (multiplicity 2)
Pt (0.3229, 0.5000, 0.0932) (multiplicity 2)
Pt (0.4076, 0.5000, 0.5425) (multiplicity 2)
Pt (0.4554, 0.0000, 0.2756) (multiplicity 2)

raw total energy = -1078.4 eV/cell
spin magnetization = 0.0000 μB/atom
ΔH_f (0 K) = -4 meV/atom

***

(3)
A PBEsol-optimized structure of BCl2O. Source: Alexandria via LeMat-Bulk, functional SCAN.

a = 5.8224 Å, b = 5.8224 Å, c = 5.8224 Å
α = 90.00°, β = 90.00°, γ = 90.00°
Space group Fm-3m (No. 225)
Inequivalent atoms, fractional coordinates:
B (0.0000, 0.0000, 0.0000) (multiplicity 4)
Cl (0.2500, 0.2500, 0.2500) (multiplicity 8)
O (0.0000, 0.0000, 0.5000) (multiplicity 4)

raw total energy = -92.3 eV/cell
spin magnetization = 0.3205 μB/atom
raw formation energy = 1.64 eV per atom

***

(4)
A PBEsol-optimized structure of Mg2ScCd. Source: Alexandria via LeMat-Bulk, functional SCAN.

a = 10.8552 Å, b = 3.1984 Å, c = 5.2737 Å
α = 90.00°, β = 107.70°, γ = 90.00°
Space group C2/m (No. 12)
Inequivalent atoms, fractional coordinates:
Mg (0.2360, 0.0000, 0.2392) (multiplicity 4)
Sc (0.0000, 0.0000, 0.5000) (multiplicity 2)
Cd (0.0000, 0.5000, 0.0000) (multiplicity 2)

raw total energy = -110.2 eV/cell
spin magnetization = 0.0761 μB/atom
ΔH_f (0 K) = -129 meV/atom